Here is a relaxed K6RbNa3 crystal from the Alexandria database. Energies are from GGA-PBE.

## Properties
DOS(E_F)   0.725 states/eV per atom
Calculated volume   2551.4 Å³/cell
Total magnetic moment   0.0000 μB per atom
Energy of formation   0.3 eV per formula unit

a = 15.9125 Å, b = 18.3880 Å, c = 8.7197 Å
α = 90.00°, β = 90.00°, γ = 90.00°
Space group Cmc2_1 (No. 36)
One atom of each set of equivalent atoms:
K (0.0000, 0.0715, 0.0000) [4 per cell]
K (0.0000, 0.3117, 0.7180) [4 per cell]
K (0.2222, 0.4800, 0.7460) [8 per cell]
K (0.2308, 0.2128, 0.9273) [8 per cell]
Rb (0.0000, 0.3052, 0.2236) [4 per cell]
Na (0.0000, 0.4990, 0.4826) [4 per cell]
Na (0.1110, 0.1260, 0.5252) [8 per cell]